No. 1
AcTbCu2Se4 (PBE-GGA, relaxed); V = 205.12 Å³ per cell; E_form (uncorrected) = -1.150 eV per atom; space-group type = No. 23
1.0
-3.419 3.662 4.096
3.419 -3.662 4.096
3.419 3.662 -4.096
Ac Tb Cu Se
1 1 2 4
Direct
0.000 0.000 0.000 Ac
0.500 0.500 0.000 Tb
0.345 0.845 0.500 Cu
0.655 0.155 0.500 Cu
0.094 0.056 0.549 Se
0.492 0.944 0.037 Se
0.508 0.545 0.451 Se
0.906 0.455 0.963 Se

No. 2
Ac2TiCuSe5 (PBE-GGA, relaxed); V = 452.46 Å³ per cell; E_form (uncorrected) = -1.466 eV per atom; space-group type = No. 36
1.0
2.091 -8.944 0.000
2.091 8.944 0.000
0.000 0.000 12.095
Ac Ti Cu Se
4 2 2 10
Direct
0.120 0.880 0.500 Ac
0.126 0.874 0.113 Ac
0.874 0.126 0.613 Ac
0.880 0.120 0.000 Ac
0.188 0.812 0.814 Ti
0.812 0.188 0.314 Ti
0.428 0.572 0.247 Cu
0.572 0.428 0.747 Cu
0.051 0.949 0.848 Se
0.294 0.706 0.458 Se
0.302 0.698 0.170 Se
0.345 0.655 0.809 Se
0.500 0.500 0.076 Se
0.500 0.500 0.576 Se
0.655 0.345 0.309 Se
0.698 0.302 0.670 Se
0.706 0.294 0.958 Se
0.949 0.051 0.348 Se

| no. | energy (eV per cell) |
| --- | --- |
| 1 | -40.1 |
| 2 | -101.6 |